1.
The following is a PBE calculation of a relaxed InPCl2 crystal, from Alexandria via LeMat-Bulk.

```
4
Lattice="-2.550 0.567 2.147 1.389 -2.145 2.215 4.262 6.277 3.405" Properties=species:S:1:pos:R:3 pbc="T T T"
Cl 3.883 5.720 3.103
Cl 0.809 1.259 3.292
In 2.242 3.302 1.791
P 2.558 3.835 4.689
```

Results
- Volume: 95.1 Å³ per cell
- Formation energy from raw total energies: 0.0268 eV per atom
- Raw total energy: -2.93 eV/atom
- Energy above the lowest structure with this stoichiometry: 0.4619 eV/atom
- Crystal system: tetragonal
- Total moment: 0.0 μB/cell

=====

2.
The following is a PBE calculation of a relaxed InPPbCl2 crystal, from Alexandria via LeMat-Bulk.

```
5
Lattice="5.584 0.000 0.000 0.000 5.584 0.000 0.000 0.000 5.314" Properties=species:S:1:pos:R:3 pbc="T T T"
Pb 0.000 0.000 0.000
P 0.000 0.000 2.657
Cl 0.000 2.792 0.000
Cl 2.792 0.000 0.000
In 2.792 2.792 2.657
```

Results
- Volume: 165.7 Å³ per cell
- Formation energy from raw total energies: -0.1155 eV per atom
- Raw total energy: -3.23 eV/atom
- Energy above the lowest structure with this stoichiometry: 0.0000 eV/atom
- Crystal system: tetragonal
- Total moment: 1.0 μB/cell

=====

3.
The following is a PBE calculation of a relaxed InPPbCl2 crystal, from Alexandria via LeMat-Bulk.

```
5
Lattice="-0.124 5.174 1.652 -1.716 -1.605 4.898 5.500 -0.438 1.783" Properties=species:S:1:pos:R:3 pbc="T T T"
Pb 1.830 1.565 4.167
P 2.750 -0.219 0.892
Cl -0.858 -0.803 2.449
Cl -0.062 2.587 0.826
In 0.000 0.000 0.000
```

Results
- Volume: 171.1 Å³ per cell
- Formation energy from raw total energies: -0.0618 eV per atom
- Raw total energy: -3.17 eV/atom
- Energy above the lowest structure with this stoichiometry: 0.0537 eV/atom
- Crystal system: tetragonal
- Total moment: 0.4 μB/cell

=====

4.
The following is a PBE calculation of a relaxed InP2PdCl crystal, from Alexandria via LeMat-Bulk.

```
5
Lattice="-3.865 -0.510 -2.786 -2.457 -1.364 3.658 -1.228 4.549 0.871" Properties=species:S:1:pos:R:3 pbc="T T T"
P -0.614 2.274 0.435
P -1.932 -0.255 -1.393
Cl 0.000 0.000 0.000
Pd -1.228 -0.682 1.829
In -3.775 1.337 0.872
```

Results
- Volume: 105.9 Å³ per cell
- Formation energy from raw total energies: 0.9172 eV per atom
- Raw total energy: -3.20 eV/atom
- Energy above the lowest structure with this stoichiometry: 0.6471 eV/atom
- Crystal system: tetragonal
- Total moment: 0.0 μB/cell